[1]
Computed, not measured: a relaxed structure of Ba2PmO at the PBE level of DFT.

Values from the calculation:
Formation energy (no corrections) ... -0.9566 eV per atom

a b c (Å): 3.8336 3.8336 32.1030
angles (deg): 90.00 90.00 120.00
Last column: nearest neighbours and their distance in Å.
Fractional coordinates of all 12 atoms:
Ba 0.0000 0.0000 0.1175  3 O 2.72
Ba 0.0000 0.0000 0.8825  3 O 2.72
Ba 0.3333 0.6667 0.5492  3 O 2.72
Ba 0.3333 0.6667 0.7841  3 O 2.72
Ba 0.6667 0.3333 0.2159  3 O 2.72
Ba 0.6667 0.3333 0.4508  3 O 2.72
Pm 0.0000 0.0000 0.0000  2 Ba 3.77, 6 Pm 3.83
Pm 0.3333 0.6667 0.6667  2 Ba 3.77, 6 Pm 3.83
Pm 0.6667 0.3333 0.3333  2 Ba 3.77, 6 Pm 3.83
O 0.0000 0.0000 0.5000  6 Ba 2.72
O 0.3333 0.6667 0.1667  6 Ba 2.72
O 0.6667 0.3333 0.8333  6 Ba 2.72

=====

[2]
Computed, not measured: a relaxed structure of Ba2PmO4 at the PBE level of DFT.

Values from the calculation:
Formation energy (no corrections) ... -2.5574 eV per atom

a b c (Å): 4.5355 4.5355 13.6069
angles (deg): 90.00 90.00 90.00
Last column: nearest neighbours and their distance in Å.
Fractional coordinates of all 14 atoms:
Ba 0.0000 0.0000 0.1436  1 O 2.52
Ba 0.0000 0.0000 0.8564  1 O 2.52
Ba 0.5000 0.5000 0.3564  1 O 2.52
Ba 0.5000 0.5000 0.6436  1 O 2.52
Pm 0.0000 0.0000 0.5000  6 O 2.27-2.33
Pm 0.5000 0.5000 0.0000  6 O 2.27-2.33
O 0.0000 0.0000 0.3288  1 Pm 2.33, 1 Ba 2.52
O 0.0000 0.0000 0.6712  1 Pm 2.33, 1 Ba 2.52
O 0.0000 0.5000 0.0000  2 Pm 2.27
O 0.0000 0.5000 0.5000  2 Pm 2.27
O 0.5000 0.0000 0.0000  2 Pm 2.27
O 0.5000 0.0000 0.5000  2 Pm 2.27
O 0.5000 0.5000 0.1712  1 Pm 2.33, 1 Ba 2.52
O 0.5000 0.5000 0.8288  1 Pm 2.33, 1 Ba 2.52

=====

[3]
Computed, not measured: a relaxed structure of BaPmO2 at the PBE level of DFT.

Values from the calculation:
Polymorph energy (0 for the lowest one) ... 0.0000 eV per atom
Formation energy (no corrections) ... -2.6765 eV per atom

a b c (Å): 3.6640 3.6640 18.9680
angles (deg): 90.00 90.00 120.00
Last column: nearest neighbours and their distance in Å.
Fractional coordinates of all 12 atoms:
Ba 0.0000 0.0000 0.0000  6 O 2.87
Ba 0.3333 0.6667 0.6667  6 O 2.87
Ba 0.6667 0.3333 0.3333  6 O 2.87
Pm 0.0000 0.0000 0.5000  6 O 2.44
Pm 0.3333 0.6667 0.1667  6 O 2.44
Pm 0.6667 0.3333 0.8333  6 O 2.44
O 0.0000 0.0000 0.2311  3 Pm 2.44
O 0.0000 0.0000 0.7689  3 Pm 2.44
O 0.3333 0.6667 0.4356  3 Pm 2.44
O 0.3333 0.6667 0.8978  3 Pm 2.44
O 0.6667 0.3333 0.1022  3 Pm 2.44
O 0.6667 0.3333 0.5644  3 Pm 2.44

=====

[4]
Computed, not measured: a relaxed structure of BaPm3O6 at the PBE level of DFT.

Values from the calculation:
Formation energy (no corrections) ... -2.9991 eV per atom

a b c (Å): 9.6444 3.6766 9.7747
angles (deg): 90.00 105.70 90.00
Last column: nearest neighbours and their distance in Å.
Fractional coordinates of all 20 atoms:
Ba 0.0842 0.2500 0.1954  7 O 2.72-2.84
Ba 0.9158 0.7500 0.8046  7 O 2.72-2.84
Pm 0.1684 0.2500 0.5845  6 O 2.32-2.49
Pm 0.3190 0.7500 0.9716  7 O 2.34-2.50
Pm 0.4883 0.2500 0.3314  7 O 2.36-2.53
Pm 0.5117 0.7500 0.6686  7 O 2.36-2.53
Pm 0.6810 0.2500 0.0284  7 O 2.34-2.50
Pm 0.8316 0.7500 0.4155  6 O 2.32-2.49
O 0.0741 0.7500 0.4130  3 Pm 2.35-2.49
O 0.1366 0.2500 0.9356  2 Pm 2.50, 1 Ba 2.72
O 0.2692 0.7500 0.7202  4 Pm 2.32-2.52
O 0.3120 0.7500 0.2254  3 Pm 2.50-2.53
O 0.3929 0.2500 0.5353  4 Pm 2.34-2.41
O 0.4533 0.2500 0.0823  4 Pm 2.34-2.39
O 0.5467 0.7500 0.9177  4 Pm 2.34-2.39
O 0.6071 0.7500 0.4647  4 Pm 2.34-2.41
O 0.6880 0.2500 0.7746  3 Pm 2.50-2.53
O 0.7308 0.2500 0.2798  4 Pm 2.32-2.52
O 0.8634 0.7500 0.0644  2 Pm 2.50, 1 Ba 2.72
O 0.9259 0.2500 0.5870  3 Pm 2.35-2.49

=====

[5]
Computed, not measured: a relaxed structure of Ba3PmO4 at the PBE level of DFT.

Values from the calculation:
Formation energy (no corrections) ... -2.5431 eV per atom

a b c (Å): 8.9796 7.7559 5.6172
angles (deg): 90.00 90.00 90.00
Last column: nearest neighbours and their distance in Å.
Fractional coordinates of all 16 atoms:
Ba 0.0000 0.1621 0.0000  5 O 2.61-2.90
Ba 0.2469 0.3381 0.5013  5 O 2.65-2.89
Ba 0.2531 0.6619 0.0013  5 O 2.65-2.89
Ba 0.5000 0.8379 0.5000  5 O 2.61-2.90
Ba 0.7469 0.6619 0.0013  5 O 2.65-2.89
Ba 0.7531 0.3381 0.5013  5 O 2.65-2.89
Pm 0.0000 0.8244 0.4756  4 O 2.26-2.28
Pm 0.5000 0.1756 0.9756  4 O 2.26-2.28
O 0.0000 0.1177 0.5126  1 Pm 2.28
O 0.0000 0.8302 0.0735  1 Pm 2.26
O 0.2279 0.6964 0.5113  1 Pm 2.28
O 0.2721 0.3036 0.0113  1 Pm 2.28
O 0.5000 0.1698 0.5735  1 Pm 2.26
O 0.5000 0.8823 0.0126  1 Pm 2.28
O 0.7279 0.3036 0.0113  1 Pm 2.28
O 0.7721 0.6964 0.5113  1 Pm 2.28

=====

[6]
Computed, not measured: a relaxed structure of BaPmO2 at the PBE level of DFT.

Values from the calculation:
Polymorph energy (0 for the lowest one) ... 0.0906 eV per atom
Formation energy (no corrections) ... -2.5859 eV per atom

a b c (Å): 6.4716 3.8159 12.5676
angles (deg): 90.00 90.00 90.00
Last column: nearest neighbours and their distance in Å.
Fractional coordinates of all 16 atoms:
Ba 0.0797 0.2500 0.1370  7 O 2.82-2.94
Ba 0.4203 0.7500 0.6370  7 O 2.82-2.94
Ba 0.5797 0.2500 0.3630  7 O 2.82-2.94
Ba 0.9203 0.7500 0.8630  7 O 2.82-2.94
Pm 0.0747 0.7500 0.3855  5 O 2.35-2.52
Pm 0.4253 0.2500 0.8855  5 O 2.35-2.52
Pm 0.5747 0.7500 0.1145  5 O 2.35-2.52
Pm 0.9253 0.2500 0.6145  5 O 2.35-2.52
O 0.1629 0.2500 0.7555  2 Pm 2.35-2.36
O 0.2184 0.2500 0.4935  3 Pm 2.43-2.52
O 0.2816 0.7500 0.9935  3 Pm 2.43-2.52
O 0.3371 0.7500 0.2555  2 Pm 2.35-2.36
O 0.6629 0.2500 0.7445  2 Pm 2.35-2.36
O 0.7184 0.2500 0.0065  3 Pm 2.43-2.52
O 0.7816 0.7500 0.5065  3 Pm 2.43-2.52
O 0.8371 0.7500 0.2445  2 Pm 2.35-2.36

=====

[7]
Computed, not measured: a relaxed structure of Ba2PmPt3O12 at the PBE level of DFT.

Values from the calculation:
Formation energy (no corrections) ... -1.2892 eV per atom

a b c (Å): 6.9667 6.9667 6.9667
angles (deg): 63.67 63.67 63.67
Last column: nearest neighbours and their distance in Å.
Fractional coordinates of all 18 atoms:
Ba 0.1087 0.1087 0.1087  6 O 2.58-2.86
Ba 0.8913 0.8913 0.8913  6 O 2.58-2.86
Pm 0.5000 0.5000 0.5000  12 O 2.55-2.84
Pt 0.0000 0.5000 0.5000  6 O 1.93-2.01
Pt 0.5000 0.0000 0.5000  6 O 1.93-2.01
Pt 0.5000 0.5000 0.0000  6 O 1.93-2.01
O 0.0716 0.6374 0.6374  1 Pt 1.93
O 0.2288 0.2288 0.6311  2 Pt 2.01
O 0.2288 0.6311 0.2288  2 Pt 2.01
O 0.3626 0.3626 0.9284  1 Pt 1.93
O 0.3626 0.9284 0.3626  1 Pt 1.93
O 0.3689 0.7712 0.7712  2 Pt 2.01
O 0.6311 0.2288 0.2288  2 Pt 2.01
O 0.6374 0.0716 0.6374  1 Pt 1.93
O 0.6374 0.6374 0.0716  1 Pt 1.93
O 0.7712 0.3689 0.7712  2 Pt 2.01
O 0.7712 0.7712 0.3689  2 Pt 2.01
O 0.9284 0.3626 0.3626  1 Pt 1.93

=====

[8]
Computed, not measured: a relaxed structure of BaPm4Pt3O12 at the PBE level of DFT.

Values from the calculation:
Formation energy (no corrections) ... -2.0581 eV per atom

a b c (Å): 7.3631 7.3631 7.3631
angles (deg): 109.47 109.47 109.47
Last column: nearest neighbours and their distance in Å.
Fractional coordinates of all 20 atoms:
Ba 0.0000 0.0000 0.0000  12 O 3.03
Pm 0.0000 0.0000 0.5000  6 O 2.36
Pm 0.0000 0.5000 0.0000  6 O 2.36
Pm 0.5000 0.0000 0.0000  6 O 2.36
Pm 0.5000 0.5000 0.5000  6 O 2.36
Pt 0.0000 0.5000 0.5000  4 O 2.00
Pt 0.5000 0.0000 0.5000  4 O 2.00
Pt 0.5000 0.5000 0.0000  4 O 2.00
O 0.1539 0.3217 0.4757  1 Pt 2.00
O 0.1539 0.6783 0.8322  1 Pt 2.00
O 0.1678 0.8461 0.3217  1 Pt 2.00
O 0.3217 0.1678 0.8461  1 Pt 2.00
O 0.3217 0.4757 0.1539  1 Pt 2.00
O 0.4757 0.1539 0.3217  1 Pt 2.00
O 0.5243 0.8461 0.6783  1 Pt 2.00
O 0.6783 0.5243 0.8461  1 Pt 2.00
O 0.6783 0.8322 0.1539  1 Pt 2.00
O 0.8322 0.1539 0.6783  1 Pt 2.00
O 0.8461 0.3217 0.1678  1 Pt 2.00
O 0.8461 0.6783 0.5243  1 Pt 2.00

=====

[9]
Computed, not measured: a relaxed structure of BaPmPt2O8 at the PBE level of DFT.

Values from the calculation:
Formation energy (no corrections) ... -0.8466 eV per atom

a b c (Å): 5.6845 5.6845 7.0673
angles (deg): 90.00 90.00 120.00
Last column: nearest neighbours and their distance in Å.
Fractional coordinates of all 12 atoms:
Ba 0.0000 0.0000 0.0000  12 O 3.28-3.50, 2 Pm 3.53
Pm 0.0000 0.0000 0.5000  6 O 2.32
Pt 0.3333 0.6667 0.4555  7 O 2.01-2.18
Pt 0.6667 0.3333 0.5445  7 O 2.01-2.18
O 0.0576 0.3931 0.6416  2 Pt 2.04-2.18
O 0.3333 0.6667 0.1714  1 Pt 2.01
O 0.3355 0.9424 0.6416  2 Pt 2.04-2.18
O 0.3931 0.3355 0.3584  2 Pt 2.04-2.18
O 0.6069 0.6645 0.6416  2 Pt 2.04-2.18
O 0.6645 0.0576 0.3584  2 Pt 2.04-2.18
O 0.6667 0.3333 0.8286  1 Pt 2.01
O 0.9424 0.6069 0.3584  2 Pt 2.04-2.18

=====

[10]
Computed, not measured: a relaxed structure of Ba3PmPt2O9 at the PBE level of DFT.

Values from the calculation:
Formation energy (no corrections) ... -1.8960 eV per atom

a b c (Å): 5.9527 5.9527 7.3844
angles (deg): 90.00 90.00 120.00
Last column: nearest neighbours and their distance in Å.
Fractional coordinates of all 15 atoms:
Ba 0.0000 0.0000 0.0000  12 O 2.97-2.98
Ba 0.3333 0.6667 0.6879  12 O 2.87-3.18
Ba 0.6667 0.3333 0.3121  12 O 2.87-3.18
Pm 0.0000 0.0000 0.5000  6 O 2.27
Pt 0.3333 0.6667 0.1608  6 O 1.98-2.09
Pt 0.6667 0.3333 0.8392  6 O 1.98-2.09
O 0.0000 0.5000 0.0000  2 Pt 2.09
O 0.1771 0.3542 0.3167  1 Pt 1.98
O 0.1771 0.8229 0.3167  1 Pt 1.98
O 0.3542 0.1771 0.6833  1 Pt 1.98
O 0.5000 0.0000 0.0000  2 Pt 2.09
O 0.5000 0.5000 0.0000  2 Pt 2.09
O 0.6458 0.8229 0.3167  1 Pt 1.98
O 0.8229 0.1771 0.6833  1 Pt 1.98
O 0.8229 0.6458 0.6833  1 Pt 1.98

=====

[11]
Computed, not measured: a relaxed structure of BaPmPuO6 at the PBE level of DFT.

Values from the calculation:
Formation energy (no corrections) ... -2.8276 eV per atom

a b c (Å): 5.9742 5.9742 10.8553
angles (deg): 90.00 90.00 120.00
Last column: nearest neighbours and their distance in Å.
Fractional coordinates of all 18 atoms:
Ba 0.0000 0.0000 0.0000  6 O 2.76
Ba 0.0000 0.0000 0.5000  6 O 2.76
Pm 0.3333 0.6667 0.2500  6 O 2.35
Pm 0.6667 0.3333 0.7500  6 O 2.35
Pu 0.3333 0.6667 0.7500  6 O 2.02
Pu 0.6667 0.3333 0.2500  6 O 2.02
O 0.0410 0.3940 0.6481  1 Pu 2.02
O 0.0410 0.6470 0.8519  1 Pu 2.02
O 0.3530 0.3940 0.8519  1 Pu 2.02
O 0.3530 0.9590 0.6481  1 Pu 2.02
O 0.3940 0.0410 0.1481  1 Pu 2.02
O 0.3940 0.3530 0.3519  1 Pu 2.02
O 0.6060 0.6470 0.6481  1 Pu 2.02
O 0.6060 0.9590 0.8519  1 Pu 2.02
O 0.6470 0.0410 0.3519  1 Pu 2.02
O 0.6470 0.6060 0.1481  1 Pu 2.02
O 0.9590 0.3530 0.1481  1 Pu 2.02
O 0.9590 0.6060 0.3519  1 Pu 2.02

=====

[12]
Computed, not measured: a relaxed structure of BaPm2PuO8 at the PBE level of DFT.

Values from the calculation:
Formation energy (no corrections) ... -2.6930 eV per atom

a b c (Å): 4.2746 7.9120 5.4574
angles (deg): 90.00 97.10 90.00
Last column: nearest neighbours and their distance in Å.
Fractional coordinates of all 12 atoms:
Ba 0.0000 0.0000 0.0000  8 O 2.64-2.76
Pm 0.5000 0.2643 0.5000  8 O 2.37-2.64
Pm 0.5000 0.7357 0.5000  8 O 2.37-2.64
Pu 0.0000 0.5000 0.0000  6 O 2.03-2.06
O 0.0563 0.3037 0.7620  1 Pu 2.06
O 0.0563 0.6963 0.7620  1 Pu 2.06
O 0.4186 0.5000 0.2198  1 Pu 2.03
O 0.4675 0.0000 0.6997  1 O 2.23, 2 Pm 2.37
O 0.5325 0.0000 0.3003  1 O 2.23, 2 Pm 2.37
O 0.5814 0.5000 0.7802  1 Pu 2.03
O 0.9437 0.3037 0.2380  1 Pu 2.06
O 0.9437 0.6963 0.2380  1 Pu 2.06

=====

Which of these has the highest formation energy (no corrections)?
BaPmPt2O8